one:
DFT (GGA-PBE) results for a relaxed Ag2HgN crystal.

```
Ag2HgN
1.0
0.795 1.375 4.283
1.132 4.347 0.830
-2.965 2.772 2.097
Hg Ag N
1 2 1
Cartesian
-0.519 4.248 3.605
-0.778 6.371 5.408
-0.259 2.124 1.803
0.000 0.000 0.000
```

=====

two:
DFT (GGA-PBE) results for a relaxed Ag2HgN crystal.

```
Ag2HgN
1.0
5.528 0.000 0.000
0.000 5.528 0.000
2.764 2.764 6.082
N Hg Ag
2 2 4
Cartesian
2.764 5.528 3.041
2.764 2.764 0.000
5.528 2.764 3.041
0.000 0.000 0.000
6.910 5.531 4.562
2.762 4.146 1.521
4.146 5.526 4.562
2.767 1.382 1.521
```

=====

Most stable structure among those shown: two. Next: +343 meV per atom.